Record 1
Material: CoPtRh4
Method: DFT, PBE
State: optimized geometry

Summary:
Total magnetic moment in μB per formula unit: 1.59

abc: 2.7174 2.7174 11.3197
angles: 90.00 90.00 90.00
Space group P4/mmm (No. 123)
Symmetry-distinct sites (fractional):
Co (0.0000, 0.0000, 0.0000) [1 per cell]
Pt (0.5000, 0.5000, 0.5000) [1 per cell]
Rh (0.0000, 0.0000, 0.3230) [2 per cell]
Rh (0.5000, 0.5000, 0.1541) [2 per cell]

Record 2
Material: CoPt2Rh
Method: DFT, PBE
State: optimized geometry

Summary:
Total magnetic moment in μB per formula unit: 3.73

abc: 8.8494 5.4969 4.7571
angles: 90.00 90.00 90.00
Space group Cmc2_1 (No. 36)
Symmetry-distinct sites (fractional):
Co (0.0000, 0.1259, 0.0000) [4 per cell]
Pt (0.2464, 0.1234, 0.6671) [8 per cell]
Rh (0.0000, 0.3700, 0.4971) [4 per cell]

Record 3
Material: CoPtRh
Method: DFT, PBE
State: optimized geometry

Summary:
Total magnetic moment in μB per formula unit: 2.76

abc: 2.7129 2.7129 11.2373
angles: 90.00 90.00 90.00
Space group I4mm (No. 107)
Symmetry-distinct sites (fractional):
Co (0.0000, 0.0000, 0.0000) [2 per cell]
Pt (0.0000, 0.0000, 0.3368) [2 per cell]
Rh (0.0000, 0.0000, 0.6531) [2 per cell]

no.,uncorrected energy (eV for the cell shown)
1,-42.43
2,-106.06
3,-41.20